# PmDyTlSn | Alexandria | PBE | optimized geometry
data_PmDyTlSn
_chemical_formula_sum 'Pm1 Dy1 Tl1 Sn1'
_space_group_name_H-M_alt 'P 1'
_space_group_IT_number 1
_cell_length_a 5.414
_cell_length_b 5.414
_cell_length_c 5.414
_cell_angle_alpha 60.00
_cell_angle_beta 60.00
_cell_angle_gamma 60.00
loop_
_space_group_symop_operation_xyz
'x,y,z'
loop_
_atom_site_label
_atom_site_type_symbol
_atom_site_fract_x
_atom_site_fract_y
_atom_site_fract_z
Pm1 Pm 0.000 0.000 0.000
Dy1 Dy 0.500 0.500 0.500
Tl1 Tl 0.750 0.750 0.750
Sn1 Sn 0.250 0.250 0.250
# Energy above the lowest structure with this stoichiometry = 0.077 eV/atom
# Total energy = -4.41 eV/atom
# Symmetry = F-43m, No. 216
# Crystal system = cubic
# Total magnetization = 0.000 μB/f.u.